Computed, not measured: an optimized crystal structure of TbPrSm5Er2 at the PBE level of DFT. Values from VASP.

Structure (Quantum ESPRESSO input):
```
&SYSTEM
  ibrav = 0, nat = 18, ntyp = 4
/
ATOMIC_SPECIES
Tb 158.93 Tb.upf
Sm 150.36 Sm.upf
Er 167.26 Er.upf
Pr 140.91 Pr.upf
CELL_PARAMETERS angstrom
5.648 0.000 0.000
-2.824 10.098 0.000
0.000 0.000 10.726
ATOMIC_POSITIONS angstrom
Tb 2.824 1.760 10.239
Tb 0.000 8.338 4.876
Sm 2.824 2.148 5.639
Sm 0.000 6.015 7.558
Sm 0.000 9.658 7.941
Sm 2.824 4.399 8.655
Sm 2.824 4.083 2.195
Sm 2.824 0.440 2.578
Sm 0.000 7.950 0.276
Sm 0.000 5.699 3.292
Sm 2.824 9.752 5.628
Sm 0.000 0.347 0.266
Er 0.000 2.346 3.434
Er 2.824 7.752 8.796
Er 2.824 7.887 2.547
Er 0.000 2.211 7.910
Pr 0.000 4.093 0.100
Pr 2.824 6.005 5.463
```

ΔH_f (0 K) (meV per atom): 150
Raw total energy (eV per atom): -4.531